DFT (PBE+U) results for a relaxed structure of Rb4NaNi3F12.

a = 7.2504 Å, b = 7.2504 Å, c = 7.2504 Å
α = 109.47°, β = 109.47°, γ = 109.47°
Closest atoms and distances in Å follow each position.
Element x y z (fractional)
Na 0.0000 0.0000 0.0000  6 F 2.28
F 0.7281 0.0000 0.7281  1 Ni 1.91
Ni 0.0000 0.5000 0.5000  6 F 1.91-2.09
Ni 0.5000 0.5000 0.0000  6 F 1.91-2.09
F 0.2500 0.5000 0.7500  2 Ni 2.09
F 0.7500 0.5000 0.2500  2 Ni 2.09
Ni 0.5000 0.0000 0.5000  6 F 1.91-2.09
Rb 0.0000 0.0000 0.5000  12 F 2.96-2.97
Rb 0.0000 0.5000 0.0000  12 F 2.96-2.97
F 0.5000 0.7500 0.2500  2 Ni 2.09
F 0.2719 0.0000 0.2719  1 Ni 1.91
Rb 0.5000 0.0000 0.0000  12 F 2.96-2.97
F 0.7500 0.2500 0.5000  2 Ni 2.09
F 0.2719 0.2719 0.0000  1 Ni 1.91
F 0.0000 0.2719 0.2719  1 Ni 1.91
F 0.7281 0.7281 0.0000  1 Ni 1.91
F 0.5000 0.2500 0.7500  2 Ni 2.09
Rb 0.5000 0.5000 0.5000  12 F 2.96-2.97
F 0.2500 0.7500 0.5000  2 Ni 2.09
F 0.0000 0.7281 0.7281  1 Ni 1.91

Output
For the density of states at the Fermi level, the calculation gives 5.84 states/eV/f.u. The calculation puts the electronic total energy at -83.79 eV for the cell shown.